Version one
An optimized crystal structure of DyTm2Tl. Source: Alexandria, functional PBE.

Summary:
Space group: Cmcm, No. 63

Geometry as extended XYZ:
```
8
Lattice="-1.795 -0.400 -3.123 -0.681 -5.755 3.234 -8.376 3.447 4.372" Properties=species:S:1:pos:R:3 pbc="T T T"
Dy -4.448 -4.834 1.074
Dy -6.403 2.125 3.409
Tm -5.611 -2.577 3.557
Tm -5.241 -0.132 0.926
Tm -9.287 -1.064 5.476
Tm -1.564 -1.645 -0.993
Tl -7.988 -0.667 2.575
Tl -2.864 -2.042 1.908
```


Version two
An optimized crystal structure of DyTm2Tl. Source: Alexandria, functional PBE.

Summary:
Space group: P2_1/m, No. 11

Geometry as extended XYZ:
```
8
Lattice="4.742 0.000 0.000 0.000 4.505 -0.893 0.000 -0.156 11.067" Properties=species:S:1:pos:R:3 pbc="T T T"
Dy 1.185 1.287 6.525
Dy 3.556 3.063 3.650
Tm 3.556 1.860 9.411
Tm 1.185 2.490 0.763
Tm 1.185 4.074 8.775
Tm 3.556 0.275 1.399
Tl 3.556 3.661 6.687
Tl 1.185 0.689 3.487
```


Most stable one: version one, least stable one: version two.


Version one
An optimized crystal structure of Dy2TmTl. Source: Alexandria, functional PBE.

Summary:
Space group: P2_1/m, No. 11

Geometry as extended XYZ:
```
8
Lattice="3.634 0.001 0.000 -1.814 6.397 0.000 0.000 0.000 10.164" Properties=species:S:1:pos:R:3 pbc="T T T"
Dy 0.007 4.744 5.434
Dy 1.813 1.655 4.730
Dy 0.007 4.744 9.812
Dy 1.813 1.655 0.352
Tm 1.818 5.884 2.541
Tm 0.002 0.515 7.623
Tl 1.823 3.222 7.623
Tl -0.004 3.176 2.541
```


Version two
An optimized crystal structure of Dy2TmTl. Source: Alexandria, functional PBE.

Summary:
Space group: Fm-3m, No. 225

Geometry as extended XYZ:
```
4
Lattice="5.442 0.000 0.000 2.721 4.713 0.000 2.721 1.571 4.444" Properties=species:S:1:pos:R:3 pbc="T T T"
Tl 5.442 3.142 2.222
Tm 0.000 0.000 0.000
Dy 2.721 1.571 1.111
Dy 8.164 4.713 3.333
```


Most stable one: version one, least stable one: version two.


Version one
An optimized crystal structure of Dy2TmTl. Source: Alexandria, functional PBE.

Summary:
Space group: P4/mmm, No. 123

Geometry as extended XYZ:
```
4
Lattice="4.841 0.000 0.000 0.000 4.824 0.000 0.000 0.000 4.824" Properties=species:S:1:pos:R:3 pbc="T T T"
Tl 2.420 2.412 2.412
Tm 2.420 0.000 0.000
Dy 0.000 0.000 2.412
Dy 0.000 2.412 0.000
```


Version two
An optimized crystal structure of Dy2TmTl. Source: Alexandria, functional PBE.

Summary:
Space group: Immm, No. 71

Geometry as extended XYZ:
```
4
Lattice="-3.106 -2.232 -0.205 3.106 -4.238 -0.912 0.328 2.262 6.197" Properties=species:S:1:pos:R:3 pbc="T T T"
Dy 1.734 -2.654 2.646
Dy -1.405 -1.554 2.434
Tm 0.000 -3.235 -0.558
Tl 0.000 0.000 0.000
```


Version three
An optimized crystal structure of Dy2TmTl. Source: Alexandria, functional PBE.

Summary:
Space group: R3m, No. 160

Geometry as extended XYZ:
```
4
Lattice="-2.866 -1.565 1.469 -1.076 -3.214 -1.156 5.070 -6.376 7.462" Properties=species:S:1:pos:R:3 pbc="T T T"
Dy 3.531 -5.223 5.689
Dy 0.222 -2.745 1.875
Tm 0.565 -5.577 3.888
Tl -2.626 -3.187 0.211
```


Most stable one: version one, least stable one: version three.


Version one
An optimized crystal structure of Dy2TmTl. Source: Alexandria, functional PBE.

Summary:
Space group: R-3m, No. 166

Geometry as extended XYZ:
```
4
Lattice="3.542 0.000 0.000 1.771 3.067 0.000 1.771 1.022 11.021" Properties=species:S:1:pos:R:3 pbc="T T T"
Tl 0.000 0.000 0.000
Tm 3.542 2.045 5.511
Dy 1.771 1.022 2.667
Dy 5.313 3.067 8.354
```


Version two
An optimized crystal structure of Dy2TmTl. Source: Alexandria, functional PBE.

Summary:
Space group: P4/mmm, No. 123

Geometry as extended XYZ:
```
4
Lattice="3.585 0.000 0.000 0.000 3.585 0.000 0.000 0.000 9.195" Properties=species:S:1:pos:R:3 pbc="T T T"
Tl 1.792 1.792 0.000
Tm 1.792 1.792 4.597
Dy 0.000 0.000 7.054
Dy 0.000 0.000 2.141
```


Most stable one: version two, least stable one: version one.


Version one
An optimized crystal structure of Dy4Tm5Tl. Source: Alexandria, functional PBE.

Summary:
Space group: P4/mmm, No. 123

Geometry as extended XYZ:
```
10
Lattice="3.527 0.000 0.000 0.000 3.527 0.000 0.000 0.000 24.125" Properties=species:S:1:pos:R:3 pbc="T T T"
Dy 0.000 0.000 4.588
Dy 0.000 0.000 9.573
Dy 0.000 0.000 14.551
Dy 0.000 0.000 19.537
Tm 1.764 1.764 2.131
Tm 1.764 1.764 7.096
Tm 1.764 1.764 12.062
Tm 1.764 1.764 17.028
Tm 1.764 1.764 21.994
Tl 0.000 0.000 0.000
```


Version two
An optimized crystal structure of Dy4Tm5Tl. Source: Alexandria, functional PBE.

Summary:
Space group: I4mm, No. 107

Geometry as extended XYZ:
```
10
Lattice="5.726 0.000 0.000 2.863 7.447 0.000 2.863 0.000 7.447" Properties=species:S:1:pos:R:3 pbc="T T T"
Dy 5.495 2.363 5.085
Dy 8.358 5.085 5.085
Dy 2.632 2.362 2.363
Dy 5.495 5.085 2.362
Tm 8.335 2.759 7.447
Tm 5.472 7.447 4.688
Tm 5.472 0.001 2.759
Tm 2.609 4.688 0.001
Tm 3.811 0.000 0.000
Tl 1.051 0.000 0.000
```


Most stable one: version one, least stable one: version two.


Version one
An optimized crystal structure of Dy6TmTl5. Source: Alexandria, functional PBE.

Summary:
Space group: Immm, No. 71

Geometry as extended XYZ:
```
12
Lattice="4.792 0.019 -1.398 -1.209 7.756 -4.040 0.059 -0.269 9.113" Properties=species:S:1:pos:R:3 pbc="T T T"
Tl 2.941 1.075 1.183
Tl 1.190 2.326 4.110
Tl -0.605 3.878 -2.020
Tl 2.453 5.180 -0.435
Tl 0.701 6.432 2.493
Tm 0.000 0.000 0.000
Dy 3.331 4.235 2.564
Dy 3.904 0.560 4.478
Dy 1.516 5.652 -3.638
Dy 2.067 2.123 -1.800
Dy -0.262 6.946 -0.802
Dy 0.311 3.271 1.111
```


Version two
An optimized crystal structure of Dy6TmTl5. Source: Alexandria, functional PBE.

Summary:
Space group: C2/m, No. 12

Geometry as extended XYZ:
```
12
Lattice="6.252 0.162 0.000 2.017 10.133 0.000 1.008 5.067 5.586" Properties=species:S:1:pos:R:3 pbc="T T T"
Dy 5.162 2.859 1.962
Dy 3.107 7.436 1.962
Dy 1.976 2.812 0.000
Dy 6.293 7.483 0.000
Dy 6.171 7.926 3.624
Dy 4.115 12.503 3.624
Tm 0.000 0.000 0.000
Tl 4.135 5.148 3.997
Tl 1.008 5.067 2.208
Tl 4.135 5.148 0.000
Tl 2.017 10.133 3.378
Tl 5.143 10.214 1.589
```


Most stable one: version one, least stable one: version two.


Version one
An optimized crystal structure of DyTm3Tl. Source: Alexandria, functional PBE.

Summary:
Space group: Cmcm, No. 63

Geometry as extended XYZ:
```
10
Lattice="-0.955 4.263 -1.902 -4.513 -1.301 -0.651 -3.402 6.570 10.463" Properties=species:S:1:pos:R:3 pbc="T T T"
Dy -6.224 5.652 5.955
Dy -2.310 2.380 2.624
Tm -2.216 3.644 -0.557
Tm -4.565 7.209 8.611
Tm -3.372 5.399 3.954
Tm -3.969 0.823 -0.032
Tm -7.273 8.651 7.234
Tm -5.163 2.634 4.625
Tl -5.056 3.880 1.396
Tl -4.433 8.416 5.281
```


Version two
An optimized crystal structure of DyTm3Tl. Source: Alexandria, functional PBE.

Summary:
Space group: C2/c, No. 15

Geometry as extended XYZ:
```
20
Lattice="6.418 0.486 0.603 0.894 9.562 1.494 0.894 -0.580 9.661" Properties=species:S:1:pos:R:3 pbc="T T T"
Dy 4.531 5.009 7.621
Dy 6.884 3.334 5.541
Dy 3.675 4.459 4.137
Dy 1.322 6.134 6.217
Tm 2.345 6.525 9.642
Tm 2.653 1.197 3.025
Tm 5.862 2.943 2.116
Tm 5.554 8.271 8.733
Tm 2.646 3.767 0.805
Tm 2.351 9.242 7.604
Tm 5.560 5.701 10.953
Tm 5.855 0.225 4.154
Tm 1.231 3.467 8.237
Tm 3.767 1.917 6.312
Tm 6.976 6.000 3.521
Tm 4.439 7.551 5.446
Tl 5.708 9.092 2.618
Tl 2.499 0.375 9.140
Tl 5.708 1.503 8.729
Tl 2.499 7.965 3.029
```


Most stable one: version one, least stable one: version two.


Version one
An optimized crystal structure of Dy3Tm2Tl. Source: Alexandria, functional PBE.

Summary:
Space group: C2/c, No. 15

Geometry as extended XYZ:
```
12
Lattice="6.848 0.000 0.000 0.000 6.109 0.526 -3.424 -0.940 8.446" Properties=species:S:1:pos:R:3 pbc="T T T"
Dy 4.394 1.527 0.132
Dy 2.454 4.582 0.395
Dy -0.848 0.155 2.827
Dy 2.576 1.960 5.882
Dy 0.848 3.210 3.090
Dy 4.272 5.015 6.145
Tm 4.252 3.294 3.153
Tm 2.596 0.240 2.890
Tm 0.828 4.930 6.082
Tm -0.828 1.875 5.819
Tl 5.868 4.582 0.395
Tl 0.980 1.527 0.132
```


Version two
An optimized crystal structure of Dy3Tm2Tl. Source: Alexandria, functional PBE.

Summary:
Space group: Cmmm, No. 65

Geometry as extended XYZ:
```
6
Lattice="4.821 0.000 0.000 0.000 4.605 -1.557 0.000 0.098 7.877" Properties=species:S:1:pos:R:3 pbc="T T T"
Dy 2.410 0.815 2.410
Dy 2.410 2.302 -0.778
Dy 2.410 3.888 3.910
Tm 0.000 3.088 1.546
Tm 0.000 1.615 4.775
Tl 0.000 0.000 0.000
```


Most stable one: version two, least stable one: version one.


Version one
An optimized crystal structure of Dy3TmTl. Source: Alexandria, functional PBE.

Summary:
Space group: Cmcm, No. 63

Geometry as extended XYZ:
```
10
Lattice="-0.960 -0.220 4.697 4.586 -1.067 0.888 2.154 12.134 3.461" Properties=species:S:1:pos:R:3 pbc="T T T"
Dy 0.630 0.832 4.210
Dy 2.730 10.591 5.096
Dy 1.670 5.665 4.649
Dy 3.387 0.333 2.298
Dy 4.526 9.872 7.882
Dy 4.447 5.259 2.745
Tm 4.492 7.590 5.316
Tm 1.625 3.334 2.078
Tl 3.448 2.740 4.875
Tl 1.708 7.964 7.216
```


Version two
An optimized crystal structure of Dy3TmTl. Source: Alexandria, functional PBE.

Summary:
Space group: C2/c, No. 15

Geometry as extended XYZ:
```
20
Lattice="-3.694 3.581 3.997 -8.181 0.702 -5.322 -4.868 -7.067 4.702" Properties=species:S:1:pos:R:3 pbc="T T T"
Dy -10.754 -5.145 0.784
Dy -3.671 -0.533 2.018
Dy -5.989 2.361 2.593
Dy -13.072 -2.251 1.359
Dy -9.279 -5.514 4.118
Dy -3.558 -3.888 3.488
Dy -7.464 2.730 -0.742
Dy -13.185 1.104 -0.111
Dy -7.218 -5.192 1.613
Dy -6.421 -2.330 3.568
Dy -9.525 2.409 1.764
Dy -10.322 -0.454 -0.192
Tm -9.657 -2.425 2.451
Tm -8.493 0.400 4.256
Tm -7.086 -0.359 0.925
Tm -8.250 -3.183 -0.879
Tl -10.672 2.733 -1.479
Tl -6.071 -5.516 4.855
Tl -8.181 -3.110 6.059
Tl -8.562 0.326 -2.683
```


Most stable one: version one, least stable one: version two.


Version one
An optimized crystal structure of DyTm4Tl. Source: Alexandria, functional PBE.

Summary:
Space group: Cmc2_1, No. 36

Geometry as extended XYZ:
```
12
Lattice="-4.609 0.644 2.858 -1.120 -6.329 -0.382 7.612 -1.797 7.464" Properties=species:S:1:pos:R:3 pbc="T T T"
Dy 1.474 -5.829 8.908
Dy 0.369 -1.883 1.018
Tm 1.251 -2.348 7.764
Tm 0.625 -5.175 2.173
Tm 4.781 -1.941 8.149
Tm -2.545 -3.543 1.912
Tm -0.836 -2.823 4.506
Tm 2.356 -6.711 5.311
Tm -0.707 -6.034 5.436
Tm 2.276 -3.225 4.397
Tl -1.238 -0.092 3.242
Tl 3.641 -4.450 6.875
```


Version two
An optimized crystal structure of DyTm4Tl. Source: Alexandria, functional PBE.

Summary:
Space group: P4/mmm, No. 123

Geometry as extended XYZ:
```
6
Lattice="3.542 0.000 0.000 0.000 3.542 0.000 0.000 0.000 14.024" Properties=species:S:1:pos:R:3 pbc="T T T"
Dy 0.000 0.000 0.000
Tm 1.771 1.771 2.473
Tm 0.000 0.000 9.126
Tm 0.000 0.000 4.899
Tm 1.771 1.771 11.551
Tl 1.771 1.771 7.012
```


Most stable one: version two, least stable one: version one.


Version one
An optimized crystal structure of Dy2TmTl4. Source: Alexandria, functional PBE.

Summary:
Space group: R-3m, No. 166

Geometry as extended XYZ:
```
7
Lattice="4.863 0.000 0.000 2.431 4.211 0.000 2.431 1.404 10.098" Properties=species:S:1:pos:R:3 pbc="T T T"
Dy 2.431 1.404 6.197
Dy 7.294 4.211 3.902
Tm 0.000 0.000 0.000
Tl 4.863 2.808 8.663
Tl 2.431 1.404 2.712
Tl 7.294 4.211 7.386
Tl 4.863 2.808 1.435
```


Version two
An optimized crystal structure of Dy2TmTl4. Source: Alexandria, functional PBE.

Summary:
Space group: I4/mmm, No. 139

Geometry as extended XYZ:
```
7
Lattice="-3.362 5.182 1.884 -0.536 -4.704 4.392 6.250 1.513 -0.600" Properties=species:S:1:pos:R:3 pbc="T T T"
Tl -1.681 2.591 0.942
Tl 1.176 0.995 2.838
Tl 3.125 0.757 -0.300
Tl -0.268 -2.352 2.196
Tm 0.000 0.000 0.000
Dy -1.949 0.239 3.138
Dy 1.444 3.348 0.642
```


Most stable one: version two, least stable one: version one.